# 1
Here is an optimized crystal structure of LiGdTmAu from the Alexandria database. Energies are from PBE.

Crystal system: cubic
E_form in eV/atom: -0.403

Cell lengths 5.094, 5.094, 5.094 Å; angles 60.00, 60.00, 60.00 degrees
Element x y z (fractional)
Li1 0.000 0.000 0.000
Gd1 0.750 0.750 0.750
Tm1 0.250 0.250 0.250
Au1 0.500 0.500 0.500

---

# 2
Here is an optimized crystal structure of LiGdYAu from the Alexandria database. Energies are from PBE.

Crystal system: cubic
E_form in eV/atom: -0.401

Cell lengths 5.135, 5.135, 5.135 Å; angles 60.00, 60.00, 60.00 degrees
Element x y z (fractional)
Li1 0.000 0.000 0.000
Gd1 0.750 0.750 0.750
Y1 0.250 0.250 0.250
Au1 0.500 0.500 0.500

---

# 3
Here is an optimized crystal structure of LiGdZnAu from the Alexandria database. Energies are from PBE.

Crystal system: cubic
E_form in eV/atom: -0.451

Cell lengths 4.871, 4.871, 4.871 Å; angles 60.00, 60.00, 60.00 degrees
Element x y z (fractional)
Li1 0.000 0.000 0.000
Gd1 0.500 0.500 0.500
Zn1 0.750 0.750 0.750
Au1 0.250 0.250 0.250

---

# 4
Here is an optimized crystal structure of GdLu2Au from the Alexandria database. Energies are from PBE.

Relative energy among the computed polymorphs in meV/atom: 0
Crystal system: tetragonal
E_form in eV/atom: -0.419

Cell lengths 3.524, 3.524, 8.667 Å; angles 90.00, 90.00, 90.00 degrees
Element x y z (fractional)
Gd1 0.000 0.000 0.000
Lu1 0.500 0.500 0.300
Lu2 0.500 0.500 0.700
Au1 0.000 0.000 0.500

---

# 5
Here is an optimized crystal structure of GdLu2Au from the Alexandria database. Energies are from PBE.

Relative energy among the computed polymorphs in meV/atom: 154
Crystal system: tetragonal
E_form in eV/atom: -0.265

Cell lengths 4.677, 4.677, 4.647 Å; angles 90.00, 90.00, 90.00 degrees
Element x y z (fractional)
Gd1 0.000 0.000 0.000
Lu1 0.000 0.500 0.500
Lu2 0.500 0.000 0.500
Au1 0.500 0.500 0.000

---

# 6
Here is an optimized crystal structure of GdLuAu2 from the Alexandria database. Energies are from PBE.

Relative energy among the computed polymorphs in meV/atom: 0
Crystal system: tetragonal
E_form in eV/atom: -0.869

Cell lengths 3.543, 3.543, 7.285 Å; angles 90.00, 90.00, 90.00 degrees
Element x y z (fractional)
Gd1 0.000 0.000 0.000
Lu1 0.000 0.000 0.500
Au1 0.500 0.500 0.269
Au2 0.500 0.500 0.731